# 1
Na3La3BiO8 GGA-PBE relaxed; magnetization = 0.00 μB/f.u.; E_form (uncorrected) = -2323 meV per atom; DFT total energy = -6.48 eV per atom
1.0
3.643 2.103 5.611
-3.643 2.103 5.611
0.000 -4.206 5.611
Na La Bi O
3 3 1 8
direct
0.000 0.500 0.500
0.500 0.000 0.500
0.500 0.500 0.000
0.000 0.000 0.500
0.000 0.500 0.000
0.500 0.000 0.000
0.500 0.500 0.500
0.236 0.236 0.236
0.259 0.726 0.726
0.274 0.274 0.741
0.274 0.741 0.274
0.726 0.259 0.726
0.726 0.726 0.259
0.741 0.274 0.274
0.764 0.764 0.764

***

# 2
Na2LaBiOs GGA-PBE relaxed; magnetization = 0.00 μB/f.u.; formation enthalpy at 0 K = 380 kJ/mol of formula units; DFT total energy = -3.75 eV per atom
1.0
5.401 0.000 0.000
0.000 5.401 0.000
0.000 0.000 5.179
Na La Bi Os
2 1 1 1
direct
0.000 0.500 0.000
0.500 0.000 0.000
0.000 0.000 0.500
0.500 0.500 0.000
0.500 0.500 0.500

***

# 3
NaLaBiPb GGA-PBE relaxed; magnetization = 0.00 μB/f.u.; formation enthalpy at 0 K = -159 kJ/mol of formula units; DFT total energy = -3.87 eV per atom
1.0
7.930 0.000 0.000
0.000 7.930 0.000
0.000 0.000 7.930
Na La Bi Pb
4 4 4 4
direct
0.000 0.000 0.000
0.000 0.500 0.500
0.500 0.000 0.500
0.500 0.500 0.000
0.000 0.000 0.500
0.000 0.500 0.000
0.500 0.000 0.000
0.500 0.500 0.500
0.250 0.250 0.750
0.250 0.750 0.250
0.750 0.250 0.250
0.750 0.750 0.750
0.250 0.250 0.250
0.250 0.750 0.750
0.750 0.250 0.750
0.750 0.750 0.250

***

# 4
NaLaRe2Bi GGA-PBE relaxed; magnetization = 3.11 μB/f.u.; formation enthalpy at 0 K = 964 kJ/mol of formula units; DFT total energy = -5.01 eV per atom
1.0
4.860 0.000 0.000
0.000 4.860 0.000
0.000 0.000 5.092
Na La Re Bi
1 1 2 1
direct
0.000 0.000 0.000
0.000 0.000 0.500
0.000 0.500 0.000
0.500 0.000 0.000
0.500 0.500 0.500